Record 1
Below is a relaxed structure of LiNp2Cl6, with properties calculated at the PBE level.

Lattice parameters (Å, degrees): 14.9890 4.0181 9.3794 90.00 105.21 90.00
Space group C2/m (No. 12)
Unique sites:
1 Li 0.0000 0.0000 0.0000
2 Np 0.1630 0.5000 0.3256
3 Cl 0.0333 0.0000 0.2990
4 Cl 0.1194 0.5000 0.0301
5 Cl 0.2026 0.5000 0.6378

Formation energy without anion corrections   -154.7 kJ per mole of atoms
Raw total energy   -5.923 eV/atom
Theoretical density   4.2 g/cm³

***

Record 2
Below is a relaxed structure of Li3NpCl8, with properties calculated at the PBE level.

Lattice parameters (Å, degrees): 13.4186 7.7466 7.8144 90.00 125.44 90.00
Space group C2/m (No. 12)
Unique sites:
1 Li 0.0000 0.0000 0.0000
2 Li 0.2500 0.2500 0.0000
3 Np 0.0000 0.5000 0.0000
4 Cl 0.0024 0.2710 0.2330
5 Cl 0.2180 0.0000 0.1520
6 Cl 0.2314 0.5000 0.2329

Formation energy without anion corrections   -152.1 kJ per mole of atoms
Raw total energy   -4.364 eV/atom
Theoretical density   2.7 g/cm³